1.
DFT (PBE) results for AlIr4Ru after structural relaxation.

abc: 5.1400 5.1400 5.1400
angles: 60.00 60.00 60.00
Element x y z (fractional)
Ir  0.8753  0.3749  0.3749
Ir  0.3749  0.8753  0.3749
Ir  0.3749  0.3749  0.3749
Ir  0.3749  0.3749  0.8753
Ru  0.7500  0.7500  0.7500
Al  0.0000  0.0000  0.0000

Computed properties:
Its formation energy is 0.409 eV per atom. Its space group is F-43m, No. 216. As for the total energy: -46.007 eV per formula unit.


2.
DFT (PBE) results for PrGaPd4 after structural relaxation.

abc: 5.3956 5.3956 5.3956
angles: 60.00 60.00 60.00
Element x y z (fractional)
Pd  0.6257  0.6257  0.6257
Pd  0.1229  0.6257  0.6257
Pr  0.2500  0.2500  0.2500
Pd  0.6257  0.6257  0.1229
Pd  0.6257  0.1229  0.6257
Ga  0.0000  0.0000  0.0000

Computed properties:
Its formation energy is -0.592 eV per atom. Its relative energy among the computed polymorphs is 0.094 eV per atom. Its space group is F-43m, No. 216. As for the total energy: -32.128 eV per formula unit.


3.
DFT (PBE) results for DyGa2Cu after structural relaxation.

abc: 5.5960 6.6335 7.8354
angles: 90.00 90.00 90.00
Element x y z (fractional)
Cu  0.8694  0.2500  0.9115
Dy  0.8731  0.7500  0.4666
Cu  0.3694  0.7500  0.5885
Dy  0.6269  0.7500  0.9666
Ga  0.6099  0.0533  0.6907
Dy  0.1269  0.2500  0.5334
Ga  0.8901  0.0533  0.1907
Ga  0.1099  0.9467  0.8093
Cu  0.6306  0.2500  0.4115
Dy  0.3731  0.2500  0.0334
Cu  0.1306  0.7500  0.0885
Ga  0.3901  0.9467  0.3093
Ga  0.1099  0.5533  0.8093
Ga  0.3901  0.5533  0.3093
Ga  0.6099  0.4467  0.6907
Ga  0.8901  0.4467  0.1907

Computed properties:
Its formation energy is -0.474 eV per atom. Its space group is Pnma, No. 62. As for the total energy: -16.648 eV per formula unit.


Summary of size of the total moment in Bohr magnetons per cell
3.26, 0.00, 0.00
(order as listed above)